VASP calculation (GGA-PBE) on a relaxed structure of K2FeHg.

a = 6.405 Å, b = 6.405 Å, c = 5.867 Å
α = 62.74°, β = 62.74°, γ = 42.85°
Last column: magnetic moment on the atom in μB.
Sites, in units of the cell vectors:
Fe: 0.424 0.424 0.575  2.95
Hg: 0.818 0.818 0.683  -0.05
K: 0.030 0.030 0.970  -0.02
K: 0.228 0.228 0.272  -0.01

Calculated values
Calculated density: 3.90 g/cm³
E_form: 0.501 eV/atom